Entry from Alexandria: an optimized crystal structure of GaSi3W (PBE-GGA).

Cell lengths 4.7911, 4.7911, 4.7911 Å; angles 90.00, 90.00, 90.00 degrees
Last column: nearest neighbours and their distance in Å.
Fractional positions:
Ga (0.0000, 0.0000, 0.0000)  12 Si 3.39
Si (0.0000, 0.5000, 0.5000)  2 W 2.40
Si (0.5000, 0.0000, 0.5000)  2 W 2.40
Si (0.5000, 0.5000, 0.0000)  2 W 2.40
W (0.5000, 0.5000, 0.5000)  6 Si 2.40

- Formation energy without anion corrections: 548 meV per atom
- Total DFT energy (no corrections): -29.51 eV/cell
- Polymorph energy (0 for the lowest one): 0.000 eV/f.u.
- Symmetry: Pm-3m (221)
- DOS(E_F): 2.54 states/eV/f.u.

***

Entry from Alexandria: an optimized crystal structure of GaSi3W (PBE-GGA).

Cell lengths 4.5507, 4.5507, 4.5507 Å; angles 90.00, 90.00, 90.00 degrees
Last column: nearest neighbours and their distance in Å.
Fractional positions:
Ga (0.0000, 0.0000, 0.0000)  6 Si 2.28
Si (0.0000, 0.0000, 0.5000)  2 Ga 2.28
Si (0.0000, 0.5000, 0.0000)  2 Ga 2.28
Si (0.5000, 0.0000, 0.0000)  2 Ga 2.28
W (0.5000, 0.5000, 0.5000)  12 Si 3.22

- Formation energy without anion corrections: 1717 meV per atom
- Total DFT energy (no corrections): -23.67 eV/cell
- Polymorph energy (0 for the lowest one): 5.843 eV/f.u.
- Symmetry: Pm-3m (221)
- DOS(E_F): 5.56 states/eV/f.u.

***

Entry from Alexandria: an optimized crystal structure of Y6GaSi2 (PBE-GGA).

Cell lengths 8.4546, 8.4546, 8.4546 Å; angles 111.68, 110.63, 106.15 degrees
Last column: nearest neighbours and their distance in Å.
Fractional positions:
Y (0.0454, 0.2433, 0.8022)  2 Si 2.96-3.24, 2 Ga 3.12-3.23
Y (0.1796, 0.2690, 0.4486)  3 Si 3.03-3.13, 1 Ga 3.08
Y (0.1796, 0.7310, 0.9105)  3 Si 3.03-3.13, 1 Ga 3.08
Y (0.3234, 0.0284, 0.7050)  3 Si 2.86-2.94
Y (0.3234, 0.6183, 0.2950)  3 Si 2.86-2.94
Y (0.4411, 0.2433, 0.1978)  2 Si 2.96-3.24, 2 Ga 3.12-3.23
Y (0.5589, 0.7567, 0.8022)  2 Si 2.96-3.24, 2 Ga 3.12-3.23
Y (0.6766, 0.3817, 0.7050)  3 Si 2.86-2.94
Y (0.6766, 0.9716, 0.2950)  3 Si 2.86-2.94
Y (0.8204, 0.2690, 0.0895)  3 Si 3.03-3.13, 1 Ga 3.08
Y (0.8204, 0.7310, 0.5514)  3 Si 3.03-3.13, 1 Ga 3.08
Y (0.9546, 0.7567, 0.1978)  2 Si 2.96-3.24, 2 Ga 3.12-3.23
Ga (0.0000, 0.0000, 0.0000)  8 Y 3.08-3.12
Ga (0.5000, 0.5000, 0.0000)  8 Y 3.23-3.33
Si (0.1169, 0.6169, 0.5000)  1 Si 2.38
Si (0.3668, 0.0000, 0.3668)  1 Si 2.56
Si (0.6332, 0.0000, 0.6332)  1 Si 2.56
Si (0.8831, 0.3831, 0.5000)  1 Si 2.38

- Formation energy without anion corrections: -575 meV per atom
- Total DFT energy (no corrections): -115.67 eV/cell
- Symmetry: Immm (71)
- DOS(E_F): 6.95 states/eV/f.u.

***

Entry from Alexandria: an optimized crystal structure of Y4Ga3Si (PBE-GGA).

Cell lengths 3.9975, 4.3501, 10.8206 Å; angles 90.00, 90.00, 90.00 degrees
Last column: nearest neighbours and their distance in Å.
Fractional positions:
Y (0.0000, 0.0000, 0.0000)  6 Ga 3.04-3.23, 1 Si 3.04
Y (0.0000, 0.5000, 0.4931)  5 Ga 3.03-3.09, 2 Si 3.16
Y (0.5000, 0.0000, 0.7162)  7 Ga 3.03-3.22
Y (0.5000, 0.5000, 0.2175)  4 Si 3.03, 3 Ga 3.06-3.17
Ga (0.0000, 0.5000, 0.7791)  2 Ga 2.62
Ga (0.5000, 0.0000, 0.4305)  2 Si 2.57
Ga (0.5000, 0.5000, 0.9351)  2 Ga 2.62
Si (0.0000, 0.0000, 0.2811)  2 Ga 2.57

- Formation energy without anion corrections: -722 meV per atom
- Total DFT energy (no corrections): -46.14 eV/cell
- Symmetry: Pmm2 (25)
- DOS(E_F): 6.59 states/eV/f.u.

***

Entry from Alexandria: an optimized crystal structure of Y3Ga4Si2 (PBE-GGA).

Cell lengths 5.8140, 5.8140, 8.2453 Å; angles 101.05, 101.05, 41.78 degrees
Last column: nearest neighbours and their distance in Å.
Fractional positions:
Y (0.0000, 0.0000, 0.0000)  8 Ga 3.09-3.20, 4 Si 3.10
Y (0.3322, 0.3322, 0.3364)  8 Ga 3.09-3.23, 4 Si 3.14-3.17
Y (0.6678, 0.6678, 0.6636)  8 Ga 3.09-3.23, 4 Si 3.14-3.17
Ga (0.0573, 0.0573, 0.3892)  2 Si 2.39, 1 Ga 2.41
Ga (0.2706, 0.2706, 0.9366)  1 Si 2.38, 2 Ga 2.41
Ga (0.7294, 0.7294, 0.0634)  1 Si 2.38, 2 Ga 2.41
Ga (0.9427, 0.9427, 0.6108)  2 Si 2.39, 1 Ga 2.41
Si (0.3930, 0.3930, 0.7273)  3 Ga 2.38-2.39
Si (0.6070, 0.6070, 0.2727)  3 Ga 2.38-2.39

- Formation energy without anion corrections: -658 meV per atom
- Total DFT energy (no corrections): -48.27 eV/cell
- Symmetry: C2/m (12)
- DOS(E_F): 3.23 states/eV/f.u.

***

Entry from Alexandria: an optimized crystal structure of Y5GaSi2 (PBE-GGA).

Cell lengths 8.7726, 8.7726, 8.7726 Å; angles 128.82, 128.82, 75.30 degrees
Last column: nearest neighbours and their distance in Å.
Fractional positions:
Y (0.0000, 0.0000, 0.0000)  4 Si 3.00
Y (0.0293, 0.5293, 0.8437)  3 Si 2.95-3.01, 2 Ga 3.18
Y (0.1856, 0.0293, 0.5000)  3 Si 2.95-3.01, 2 Ga 3.18
Y (0.3144, 0.8144, 0.8437)  3 Si 2.95-3.01, 2 Ga 3.18
Y (0.4707, 0.3144, 0.5000)  3 Si 2.95-3.01, 2 Ga 3.18
Y (0.5000, 0.5000, 0.0000)  4 Si 3.00
Y (0.5293, 0.6856, 0.5000)  3 Si 2.95-3.01, 2 Ga 3.18
Y (0.6856, 0.1856, 0.1563)  3 Si 2.95-3.01, 2 Ga 3.18
Y (0.8144, 0.9707, 0.5000)  3 Si 2.95-3.01, 2 Ga 3.18
Y (0.9707, 0.4707, 0.1563)  3 Si 2.95-3.01, 2 Ga 3.18
Ga (0.2500, 0.2500, 0.0000)  10 Y 3.18-3.47
Ga (0.7500, 0.7500, 0.0000)  10 Y 3.18-3.47
Si (0.1237, 0.3763, 0.5000)  1 Si 2.65, 2 Y 2.95
Si (0.3763, 0.8763, 0.2526)  1 Si 2.65, 2 Y 2.95
Si (0.6237, 0.1237, 0.7474)  1 Si 2.65, 2 Y 2.95
Si (0.8763, 0.6237, 0.5000)  1 Si 2.65, 2 Y 2.95

- Formation energy without anion corrections: -648 meV per atom
- Total DFT energy (no corrections): -102.76 eV/cell
- Symmetry: I4/mcm (140)
- DOS(E_F): 6.20 states/eV/f.u.

***

Entry from Alexandria: an optimized crystal structure of YGa2Si2 (PBE-GGA).

Cell lengths 5.5491, 5.5491, 5.5491 Å; angles 130.19, 130.19, 73.10 degrees
Last column: nearest neighbours and their distance in Å.
Fractional positions:
Y (0.0000, 0.0000, 0.0000)  10 Ga 3.22-3.53, 8 Si 3.23
Ga (0.3612, 0.3612, 0.0000)  1 Ga 2.47, 4 Si 2.54
Ga (0.6388, 0.6388, 0.0000)  1 Ga 2.47, 4 Si 2.54
Si (0.2500, 0.7500, 0.5000)  4 Ga 2.54
Si (0.7500, 0.2500, 0.5000)  4 Ga 2.54

- Formation energy without anion corrections: -158 meV per atom
- Total DFT energy (no corrections): -24.15 eV/cell
- Symmetry: I4/mmm (139)
- DOS(E_F): 1.49 states/eV/f.u.

***

Entry from Alexandria: an optimized crystal structure of Y3Ga2Si3 (PBE-GGA).

Cell lengths 5.7497, 5.7497, 14.9176 Å; angles 90.00, 90.00, 138.10 degrees
Last column: nearest neighbours and their distance in Å.
Fractional positions:
Y (0.0678, 0.9322, 0.7500)  5 Si 2.90-3.21, 4 Ga 2.95
Y (0.3621, 0.6379, 0.5944)  7 Si 3.08-3.18, 4 Ga 3.09-3.22
Y (0.3621, 0.6379, 0.9056)  7 Si 3.08-3.18, 4 Ga 3.09-3.22
Y (0.6379, 0.3621, 0.0944)  7 Si 3.08-3.18, 4 Ga 3.09-3.22
Y (0.6379, 0.3621, 0.4056)  7 Si 3.08-3.18, 4 Ga 3.09-3.22
Y (0.9322, 0.0678, 0.2500)  5 Si 2.90-3.21, 4 Ga 2.95
Ga (0.3499, 0.6501, 0.1213)  3 Si 2.42-2.49
Ga (0.3499, 0.6501, 0.3787)  3 Si 2.42-2.49
Ga (0.6501, 0.3499, 0.6213)  3 Si 2.42-2.49
Ga (0.6501, 0.3499, 0.8787)  3 Si 2.42-2.49
Si (0.0783, 0.9217, 0.5533)  1 Si 2.31, 2 Ga 2.42
Si (0.0783, 0.9217, 0.9467)  1 Si 2.31, 2 Ga 2.42
Si (0.2025, 0.7975, 0.2500)  2 Ga 2.49
Si (0.7975, 0.2025, 0.7500)  2 Ga 2.49
Si (0.9217, 0.0783, 0.0533)  1 Si 2.31, 2 Ga 2.42
Si (0.9217, 0.0783, 0.4467)  1 Si 2.31, 2 Ga 2.42

- Formation energy without anion corrections: -637 meV per atom
- Total DFT energy (no corrections): -93.63 eV/cell
- Symmetry: Cmcm (63)
- DOS(E_F): 3.63 states/eV/f.u.

***

Entry from Alexandria: an optimized crystal structure of YGa2Si2 (PBE-GGA).

Cell lengths 7.2685, 7.2685, 3.6042 Å; angles 90.00, 90.00, 90.00 degrees
Last column: nearest neighbours and their distance in Å.
Fractional positions:
Y (0.0000, 0.0000, 0.0000)  4 Si 2.91
Y (0.5000, 0.5000, 0.0000)  4 Si 2.91
Ga (0.1646, 0.3354, 0.5000)  6 Si 2.75-2.87
Ga (0.3354, 0.8354, 0.5000)  6 Si 2.75-2.87
Ga (0.6646, 0.1646, 0.5000)  6 Si 2.75-2.87
Ga (0.8354, 0.6646, 0.5000)  6 Si 2.75-2.87
Si (0.1181, 0.6181, 0.0000)  1 Si 2.43
Si (0.3819, 0.1181, 0.0000)  1 Si 2.43
Si (0.6181, 0.8819, 0.0000)  1 Si 2.43
Si (0.8819, 0.3819, 0.0000)  1 Si 2.43

- Formation energy without anion corrections: -154 meV per atom
- Total DFT energy (no corrections): -48.27 eV/cell
- Symmetry: P4/mbm (127)
- DOS(E_F): 1.79 states/eV/f.u.

***

Entry from Alexandria: an optimized crystal structure of YGa2Si2 (PBE-GGA).

Cell lengths 7.3408, 7.3408, 3.4917 Å; angles 90.00, 90.00, 90.00 degrees
Last column: nearest neighbours and their distance in Å.
Fractional positions:
Y (0.0000, 0.0000, 0.0000)  4 Ga 2.90, 8 Si 3.25
Y (0.5000, 0.5000, 0.0000)  4 Ga 2.90, 8 Si 3.25
Ga (0.1244, 0.3756, 0.0000)  1 Ga 2.58, 6 Si 2.76-2.81
Ga (0.3756, 0.8756, 0.0000)  1 Ga 2.58, 6 Si 2.76-2.81
Ga (0.6244, 0.1244, 0.0000)  1 Ga 2.58, 6 Si 2.76-2.81
Ga (0.8756, 0.6244, 0.0000)  1 Ga 2.58, 6 Si 2.76-2.81
Si (0.1640, 0.6640, 0.5000)  6 Ga 2.76-2.81
Si (0.3360, 0.1640, 0.5000)  6 Ga 2.76-2.81
Si (0.6640, 0.8360, 0.5000)  6 Ga 2.76-2.81
Si (0.8360, 0.3360, 0.5000)  6 Ga 2.76-2.81

- Formation energy without anion corrections: -84 meV per atom
- Total DFT energy (no corrections): -47.57 eV/cell
- Symmetry: P4/mbm (127)
- DOS(E_F): 1.32 states/eV/f.u.

***

Entry from Alexandria: an optimized crystal structure of Y5Ga2Si2 (PBE-GGA).

Cell lengths 8.4469, 8.4469, 7.5834 Å; angles 90.00, 90.00, 53.56 degrees
Last column: nearest neighbours and their distance in Å.
Fractional positions:
Y (0.0000, 0.0000, 0.0000)  4 Si 3.03-3.06, 2 Ga 3.22
Y (0.0489, 0.6815, 0.6783)  3 Si 2.98-3.09, 3 Ga 3.00-3.05
Y (0.1815, 0.5489, 0.1783)  3 Si 2.98-3.09, 3 Ga 3.00-3.05
Y (0.3185, 0.9511, 0.6783)  3 Si 2.98-3.09, 3 Ga 3.00-3.05
Y (0.4511, 0.8185, 0.1783)  3 Si 2.98-3.09, 3 Ga 3.00-3.05
Y (0.5000, 0.5000, 0.5000)  4 Si 3.03-3.06, 2 Ga 3.22
Y (0.5489, 0.1815, 0.8217)  3 Si 2.98-3.09, 3 Ga 3.00-3.05
Y (0.6815, 0.0489, 0.3217)  3 Si 2.98-3.09, 3 Ga 3.00-3.05
Y (0.8185, 0.4511, 0.8217)  3 Si 2.98-3.09, 3 Ga 3.00-3.05
Y (0.9511, 0.3185, 0.3217)  3 Si 2.98-3.09, 3 Ga 3.00-3.05
Ga (0.2133, 0.2133, 0.0000)  7 Y 3.00-3.22
Ga (0.2867, 0.2867, 0.5000)  7 Y 3.00-3.22
Ga (0.7133, 0.7133, 0.5000)  7 Y 3.00-3.22
Ga (0.7867, 0.7867, 0.0000)  7 Y 3.00-3.22
Si (0.1153, 0.8847, 0.3818)  1 Si 2.51
Si (0.3847, 0.6153, 0.8818)  1 Si 2.51
Si (0.6153, 0.3847, 0.1182)  1 Si 2.51
Si (0.8847, 0.1153, 0.6182)  1 Si 2.51

- Formation energy without anion corrections: -660 meV per atom
- Total DFT energy (no corrections): -110.32 eV/cell
- Symmetry: Cmce (64)
- DOS(E_F): 8.96 states/eV/f.u.

***

Entry from Alexandria: an optimized crystal structure of Y2GaSi (PBE-GGA).

Cell lengths 6.4158, 6.4158, 6.4158 Å; angles 105.76, 105.76, 117.19 degrees
Last column: nearest neighbours and their distance in Å.
Fractional positions:
Y (0.1146, 0.6250, 0.9896)  2 Si 2.81, 2 Ga 2.92
Y (0.3750, 0.3646, 0.4896)  2 Si 2.81, 2 Ga 2.92
Y (0.6354, 0.1250, 0.0104)  2 Si 2.81, 2 Ga 2.92
Y (0.8750, 0.8854, 0.5104)  2 Si 2.81, 2 Ga 2.92
Ga (0.2500, 0.7500, 0.5000)  4 Y 2.92
Ga (0.5000, 0.5000, 0.0000)  4 Y 2.92
Si (0.0000, 0.0000, 0.0000)  4 Y 2.81
Si (0.7500, 0.2500, 0.5000)  4 Y 2.81

- Formation energy without anion corrections: -268 meV per atom
- Total DFT energy (no corrections): -44.90 eV/cell
- Symmetry: I-42d (122)
- DOS(E_F): 1.71 states/eV/f.u.